# 1
First-principles (PBE-GGA) data for a geometry-optimized TbDy3Fe structure, as listed in Alexandria.

a = 5.2656 Å, b = 5.2656 Å, c = 5.2656 Å
α = 90.00°, β = 90.00°, γ = 90.00°
Last column: nearest neighbours and their distance in Å.
Space group Pm-3m (No. 221)
One atom of each set of equivalent atoms:
Tb 0.0000 0.0000 0.0000 x1  12 Dy 3.72
Dy 0.0000 0.5000 0.5000 x3  2 Fe 2.63
Fe 0.5000 0.5000 0.5000 x1  6 Dy 2.63

N(E_F): 8.51 states/eV per cell
ΔE_f: 0.61 eV/f.u.
total magnetization: 0.00 μB per formula unit
final energy: -5.257 eV per atom

# 2
First-principles (PBE-GGA) data for a geometry-optimized Hf2SbS2 structure, as listed in Alexandria.

a = 7.6630 Å, b = 7.6630 Å, c = 3.2590 Å
α = 90.00°, β = 90.00°, γ = 90.00°
Last column: nearest neighbours and their distance in Å.
Space group P4/mbm (No. 127)
One atom of each set of equivalent atoms:
Hf 0.1449 0.3551 0.0000 x4  6 S 2.68-2.91, 2 Sb 2.94
Sb 0.0000 0.0000 0.0000 x2  4 Hf 2.94, 2 Sb 3.26
S 0.1322 0.6322 0.5000 x4  6 Hf 2.68-2.91, 1 S 2.87

N(E_F): 2.81 states/eV per cell
uncorrected formation energy: -0.9362 eV per atom
total magnetization: 0.00 μB per formula unit
final energy: -7.393 eV per atom

# 3
First-principles (PBE-GGA) data for a geometry-optimized BaSrSe2 structure, as listed in Alexandria.

a = 4.6048 Å, b = 4.6048 Å, c = 6.5125 Å
α = 90.00°, β = 90.00°, γ = 90.00°
Last column: nearest neighbours and their distance in Å.
Space group P4/mmm (No. 123)
One atom of each set of equivalent atoms:
Ba 0.0000 0.0000 0.0000 x1  6 Se 3.26
Sr 0.5000 0.5000 0.5000 x1  6 Se 3.26
Se 0.0000 0.0000 0.5000 x1  4 Sr 3.26, 2 Ba 3.26
Se 0.5000 0.5000 0.0000 x1  4 Ba 3.26, 2 Sr 3.26

N(E_F): 0.00 states/eV per cell
uncorrected formation energy: -2.0312 eV per atom
total magnetization: 0.00 μB per formula unit
final energy: -4.675 eV per atom
excess energy over the best structure of this formula in the dataset: 0.08 eV/f.u.